P.
CsSc2Rh (PBE, optimized geometry); calculated volume = 33.90 Å³/atom; space group = R-3m, No. 166
1.0
1.963 1.133 10.161
-1.963 1.133 10.161
0.000 -2.266 10.161
Cs Sc Rh
1 2 1
Direct
0.000 0.000 0.000
0.125 0.125 0.125
0.875 0.875 0.875
0.500 0.500 0.500

Q.
CsSc2Rh (PBE, optimized geometry); calculated volume = 22.94 Å³/atom; space group = Fm-3m, No. 225
1.0
0.000 3.580 3.580
3.580 0.000 3.580
3.580 3.580 0.000
Cs Sc Rh
1 2 1
Direct
0.000 0.000 0.000
0.250 0.250 0.250
0.750 0.750 0.750
0.500 0.500 0.500

Last place for stability: Q

P.
CsSn3Rh (PBE, optimized geometry); calculated volume = 30.46 Å³/atom; space group = Pm-3m, No. 221
1.0
5.340 0.000 0.000
0.000 5.340 0.000
0.000 0.000 5.340
Cs Sn Rh
1 3 1
Direct
0.000 0.000 0.000
0.000 0.500 0.500
0.500 0.000 0.500
0.500 0.500 0.000
0.500 0.500 0.500

Q.
CsSn3Rh (PBE, optimized geometry); calculated volume = 42.53 Å³/atom; space group = Pm-3m, No. 221
1.0
5.969 0.000 0.000
0.000 5.969 0.000
0.000 0.000 5.969
Cs Sn Rh
1 3 1
Direct
0.000 0.000 0.000
0.000 0.000 0.500
0.000 0.500 0.000
0.500 0.000 0.000
0.500 0.500 0.500

Last place for stability: Q

P.
CsSn2Rh2 (PBE, optimized geometry); calculated volume = 22.52 Å³/atom; space group = P4/mbm, No. 127
1.0
8.456 0.000 0.000
0.000 8.456 0.000
0.000 0.000 3.150
Cs Sn Rh
2 4 4
Direct
0.000 0.000 0.000
0.500 0.500 0.000
0.137 0.363 0.500
0.363 0.863 0.500
0.637 0.137 0.500
0.863 0.637 0.500
0.139 0.639 0.000
0.361 0.139 0.000
0.639 0.861 0.000
0.861 0.361 0.000

Q.
CsSn2Rh2 (PBE, optimized geometry); calculated volume = 28.27 Å³/atom; space group = I4/mmm, No. 139
1.0
-2.280 2.280 6.796
2.280 -2.280 6.796
2.280 2.280 -6.796
Cs Sn Rh
1 2 2
Direct
0.000 0.000 0.000
0.250 0.750 0.500
0.750 0.250 0.500
0.351 0.351 0.000
0.649 0.649 0.000

Last place for stability: P

P.
CsZn2SnRh (PBE, optimized geometry); calculated volume = 30.44 Å³/atom; space group = P4/mmm, No. 123
1.0
5.442 0.000 0.000
0.000 5.442 0.000
0.000 0.000 5.139
Cs Zn Sn Rh
1 2 1 1
Direct
0.000 0.000 0.000
0.000 0.500 0.500
0.500 0.000 0.500
0.500 0.500 0.500
0.500 0.500 0.000

Q.
CsZn2SnRh (PBE, optimized geometry); calculated volume = 26.75 Å³/atom; space group = P4/mmm, No. 123
1.0
5.135 0.000 0.000
0.000 5.135 0.000
0.000 0.000 5.071
Cs Zn Sn Rh
1 2 1 1
Direct
0.000 0.000 0.000
0.000 0.500 0.500
0.500 0.000 0.500
0.500 0.500 0.000
0.500 0.500 0.500

Last place for stability: P

P.
CsTa3Rh (PBE, optimized geometry); calculated volume = 24.34 Å³/atom; space group = Pm-3m, No. 221
1.0
4.955 0.000 0.000
0.000 4.955 0.000
0.000 0.000 4.955
Cs Ta Rh
1 3 1
Direct
0.000 0.000 0.000
0.000 0.000 0.500
0.000 0.500 0.000
0.500 0.000 0.000
0.500 0.500 0.500

Q.
CsTa3Rh (PBE, optimized geometry); calculated volume = 25.00 Å³/atom; space group = Pm-3m, No. 221
1.0
5.000 0.000 0.000
0.000 5.000 0.000
0.000 0.000 5.000
Cs Ta Rh
1 3 1
Direct
0.000 0.000 0.000
0.000 0.500 0.500
0.500 0.000 0.500
0.500 0.500 0.000
0.500 0.500 0.500

Last place for stability: P

P.
CsTc3Rh (PBE, optimized geometry); calculated volume = 21.93 Å³/atom; space group = Pm-3m, No. 221
1.0
4.787 0.000 0.000
0.000 4.787 0.000
0.000 0.000 4.787
Cs Tc Rh
1 3 1
Direct
0.000 0.000 0.000
0.000 0.000 0.500
0.000 0.500 0.000
0.500 0.000 0.000
0.500 0.500 0.500

Q.
CsTc3Rh (PBE, optimized geometry); calculated volume = 24.12 Å³/atom; space group = Pm-3m, No. 221
1.0
4.941 0.000 0.000
0.000 4.941 0.000
0.000 0.000 4.941
Cs Tc Rh
1 3 1
Direct
0.000 0.000 0.000
0.000 0.500 0.500
0.500 0.000 0.500
0.500 0.500 0.000
0.500 0.500 0.500

Last place for stability: P